Record 1
Entry from the Alexandria database: a geometry-optimized La3Br3Cl structure (PBE).

Summary:
The uncorrected formation energy comes out at -1.598 eV per atom.

The structure in CIF format:
```
data_La3Br3Cl
_cell_length_a 11.8765
_cell_length_b 11.8765
_cell_length_c 11.8765
_cell_angle_alpha 90.00
_cell_angle_beta 90.00
_cell_angle_gamma 90.00
_space_group_name_H-M_alt 'I 41 3 2'
_space_group_IT_number 214
_space_group_name_Hall 'I 4bd 2c 3'
loop_
_atom_site_label
_atom_site_fract_x
_atom_site_fract_y
_atom_site_fract_z
La1 0.1134 0.3634 0.1250
Br1 0.1138 0.1362 0.6250
Cl1 0.1250 0.1250 0.1250
```

Record 2
Entry from the Alexandria database: a geometry-optimized LiMn2Cl structure (PBE).

Summary:
The uncorrected formation energy comes out at 0.326 eV per atom.

The structure in CIF format:
```
data_LiMn2Cl
_cell_length_a 5.2606
_cell_length_b 9.1695
_cell_length_c 3.0290
_cell_angle_alpha 90.00
_cell_angle_beta 90.00
_cell_angle_gamma 90.00
_space_group_name_H-M_alt 'C m m m'
_space_group_IT_number 65
_space_group_name_Hall '-C 2 2'
loop_
_atom_site_label
_atom_site_fract_x
_atom_site_fract_y
_atom_site_fract_z
Li1 0.0000 0.0000 0.0000
Mn1 0.2500 0.2500 0.5000
Cl1 0.0000 0.5000 0.0000
```

Record 3
Entry from the Alexandria database: a geometry-optimized LaTm4Tl4 structure (PBE).

Summary:
The formation energy from the elements is -12.2 kJ per mole of atoms.

The structure in CIF format:
```
data_LaTm4Tl4
_cell_length_a 7.3725
_cell_length_b 7.3725
_cell_length_c 10.3154
_cell_angle_alpha 90.00
_cell_angle_beta 90.00
_cell_angle_gamma 90.00
_space_group_name_H-M_alt 'P 42/n m c'
_space_group_IT_number 137
loop_
_space_group_symop_operation_xyz
'x,y,z'
'-x,-y,-z'
'-y+1/2,x,z+1/2'
'y+1/2,-x,-z+1/2'
'-x+1/2,-y+1/2,z'
'x+1/2,y+1/2,-z'
'y,-x+1/2,z+1/2'
'-y,x+1/2,-z+1/2'
'x+1/2,-y,-z'
'-x+1/2,y,z'
'-y,-x,-z+1/2'
'y,x,z+1/2'
'-x,y+1/2,-z'
'x,-y+1/2,z'
'y+1/2,x+1/2,-z+1/2'
'-y+1/2,-x+1/2,z+1/2'
loop_
_atom_site_label
_atom_site_fract_x
_atom_site_fract_y
_atom_site_fract_z
La1 0.2500 0.7500 0.2500
Tm1 0.0148 0.2500 0.1559
Tl1 0.0357 0.2500 0.4559
```

Record 4
Entry from the Alexandria database: a geometry-optimized ZnH2Pb structure (PBE).

Summary:
The total energy is -10.532 eV/f.u.

The structure in CIF format:
```
data_ZnH2Pb
_cell_length_a 6.1312
_cell_length_b 6.1312
_cell_length_c 6.3887
_cell_angle_alpha 90.00
_cell_angle_beta 90.00
_cell_angle_gamma 90.00
_space_group_name_H-M_alt 'I -4 2 d'
_space_group_IT_number 122
_space_group_name_Hall 'I -4 2bw'
loop_
_atom_site_label
_atom_site_fract_x
_atom_site_fract_y
_atom_site_fract_z
Zn1 0.0000 0.0000 0.0000
H1 0.0014 0.7500 0.1250
Pb1 0.0000 0.0000 0.5000
```

Record 5
Entry from the Alexandria database: a geometry-optimized NaDy2Ge4Pt3 structure (PBE).

Summary:
The formation energy from the elements is -66.3 kJ per mole of atoms.

The structure in CIF format:
```
data_NaDy2Ge4Pt3
_cell_length_a 4.1911
_cell_length_b 4.1911
_cell_length_c 11.0229
_cell_angle_alpha 90.00
_cell_angle_beta 90.00
_cell_angle_gamma 90.00
_space_group_name_H-M_alt 'P -4 m 2'
_space_group_IT_number 115
_space_group_name_Hall 'P -4 -2'
loop_
_atom_site_label
_atom_site_fract_x
_atom_site_fract_y
_atom_site_fract_z
Na1 0.0000 0.0000 0.0000
Dy1 0.0000 0.5000 0.7489
Ge1 0.0000 0.0000 0.5000
Ge2 0.0000 0.5000 0.1469
Ge3 0.5000 0.5000 0.5000
Pt1 0.0000 0.5000 0.3688
Pt2 0.5000 0.5000 0.0000
```

Record 6
Entry from the Alexandria database: a geometry-optimized ZrTa5Os6 structure (PBE).

Summary:
The formation energy from the elements is -25.3 kJ per mole of atoms.

The structure in CIF format:
```
data_ZrTa5Os6
_cell_length_a 4.5833
_cell_length_b 13.9242
_cell_length_c 6.2049
_cell_angle_alpha 90.00
_cell_angle_beta 90.00
_cell_angle_gamma 90.00
_space_group_name_H-M_alt 'C m m m'
_space_group_IT_number 65
_space_group_name_Hall '-C 2 2'
loop_
_atom_site_label
_atom_site_fract_x
_atom_site_fract_y
_atom_site_fract_z
Zr1 0.0000 0.0000 0.0000
Ta1 0.0000 0.0000 0.5000
Ta2 0.0000 0.3359 0.0000
Ta3 0.0000 0.3370 0.5000
Os1 0.0000 0.1753 0.2520
Os2 0.0000 0.5000 0.2542
```

Record 7
Entry from the Alexandria database: a geometry-optimized Ac3Tl3Cd structure (PBE).

Summary:
The formation energy from the elements is -33.3 kJ per mole of atoms.

The structure in CIF format:
```
data_Ac3Tl3Cd
_cell_length_a 12.2805
_cell_length_b 5.0574
_cell_length_c 16.4749
_cell_angle_alpha 90.00
_cell_angle_beta 109.89
_cell_angle_gamma 90.00
_space_group_name_H-M_alt 'C 1 2/m 1'
_space_group_IT_number 12
_space_group_name_Hall '-C 2y'
loop_
_atom_site_label
_atom_site_fract_x
_atom_site_fract_y
_atom_site_fract_z
Ac1 0.0354 0.0000 0.3840
Ac2 0.0986 0.0000 0.9214
Ac3 0.2382 0.0000 0.2251
Tl1 0.0239 0.5000 0.2326
Tl2 0.1193 0.5000 0.0754
Tl3 0.1362 0.5000 0.5419
Cd1 0.2420 0.5000 0.3888
```

Record 8
Entry from the Alexandria database: a geometry-optimized TbSmMgCo structure (PBE).

Summary:
The formation energy from the elements is 2.6 kJ per mole of atoms.

The structure in CIF format:
```
data_TbSmMgCo
_cell_length_a 7.1943
_cell_length_b 7.1943
_cell_length_c 7.1943
_cell_angle_alpha 90.00
_cell_angle_beta 90.00
_cell_angle_gamma 90.00
_space_group_name_H-M_alt 'F -4 3 m'
_space_group_IT_number 216
_space_group_name_Hall 'F -4 2 3'
loop_
_atom_site_label
_atom_site_fract_x
_atom_site_fract_y
_atom_site_fract_z
Tb1 0.0000 0.0000 0.0000
Sm1 0.0000 0.0000 0.5000
Mg1 0.2500 0.2500 0.7500
Co1 0.2500 0.2500 0.2500
```

Record 9
Entry from the Alexandria database: a geometry-optimized ZrMnAgPd2 structure (PBE).

Summary:
The formation energy from the elements is 75.7 kJ per mole of atoms.

The structure in CIF format:
```
data_ZrMnAgPd2
_cell_length_a 4.5257
_cell_length_b 4.5257
_cell_length_c 4.7589
_cell_angle_alpha 90.00
_cell_angle_beta 90.00
_cell_angle_gamma 90.00
_space_group_name_H-M_alt 'P 4/m m m'
_space_group_IT_number 123
_space_group_name_Hall '-P 4 2'
loop_
_atom_site_label
_atom_site_fract_x
_atom_site_fract_y
_atom_site_fract_z
Zr1 0.0000 0.0000 0.0000
Mn1 0.5000 0.5000 0.5000
Ag1 0.5000 0.5000 0.0000
Pd1 0.0000 0.5000 0.5000
```

Repeat the second record exactly.
Entry from the Alexandria database: a geometry-optimized LiMn2Cl structure (PBE).

Summary:
The uncorrected formation energy comes out at 0.326 eV per atom.

The structure in CIF format:
```
data_LiMn2Cl
_cell_length_a 5.2606
_cell_length_b 9.1695
_cell_length_c 3.0290
_cell_angle_alpha 90.00
_cell_angle_beta 90.00
_cell_angle_gamma 90.00
_space_group_name_H-M_alt 'C m m m'
_space_group_IT_number 65
_space_group_name_Hall '-C 2 2'
loop_
_atom_site_label
_atom_site_fract_x
_atom_site_fract_y
_atom_site_fract_z
Li1 0.0000 0.0000 0.0000
Mn1 0.2500 0.2500 0.5000
Cl1 0.0000 0.5000 0.0000
```

What is the formula in the fourth record?
ZnH2Pb